Below is a relaxed AlVSnF6 crystal, with properties calculated at the GGA+U level.

## Properties
The value obtained for the total energy is -49.74 eV/f.u. As for the crystal system: trigonal.

```
data_AlVSnF6
_cell_length_a 5.4366
_cell_length_b 5.4366
_cell_length_c 10.8675
_cell_angle_alpha 90.00
_cell_angle_beta 90.00
_cell_angle_gamma 120.00
_space_group_name_H-M_alt 'P -3 1 c'
_space_group_IT_number 163
_space_group_name_Hall '-P 3 2c'
loop_
_atom_site_label
_atom_site_fract_x
_atom_site_fract_y
_atom_site_fract_z
Al1 0.3333 0.6667 0.2500
V1 0.3333 0.6667 0.7500
Sn1 0.0000 0.0000 0.0000
F1 0.0407 0.3923 0.1573
```